# GGA-PBE PmGe2Pd3, optimized geometry
data_PmGe2Pd3
_chemical_formula_sum 'Pm4 Ge8 Pd12'
_symmetry_space_group_name_H-M 'C 1 2/m 1'
_symmetry_Int_Tables_number 12
_cell_length_a 15.8600
_cell_length_b 4.1726
_cell_length_c 7.5039
_cell_angle_alpha 90.00
_cell_angle_beta 116.49
_cell_angle_gamma 90.00
loop_
_symmetry_equiv_pos_as_xyz
'x,y,z'
'-x,-y,-z'
'-x,y,-z'
'x,-y,z'
'x+1/2,y+1/2,z'
'-x+1/2,-y+1/2,-z'
'-x+1/2,y+1/2,-z'
'x+1/2,-y+1/2,z'
loop_
_atom_site_label
_atom_site_fract_x
_atom_site_fract_y
_atom_site_fract_z
Pm1 0.1525 0.0000 0.0748
Ge1 0.0174 0.5000 0.1760
Ge2 0.1925 0.0000 0.6944
Pd1 0.0429 0.0000 0.3687
Pd2 0.1007 0.5000 0.6927
Pd3 0.1849 0.5000 0.4339
# formation enthalpy at 0 K	-425	kJ/mol of formula units
# electronic total energy	-5.66	eV/atom
# ΔE to the lowest computed polymorph	0.38	eV per formula unit
# volume	18.52	Å³ per atom